Version w
Rb3ThSe3: optimized geometry, PBE.

The structure belongs to space group R-3 (No. 148, hexagonal axes); the cell edges are 7.9042, 7.9042 and 36.5678 Å and the angles 90.00°, 90.00° and 120.00°. The distinct sites, in fractional coordinates, are Rb at (0.0013, 0.3037, 0.3991), Th at (0.0000, 0.0000, 0.1667) and Se at (0.0002, 0.3788, 0.5442).

=====

Version x
Rb3ThSe3: optimized geometry, PBE.

The structure belongs to space group C2/m (No. 12); the cell edges are 9.701, 14.630 and 8.631 Å and the angles 90.00°, 97.39° and 90.00°. The distinct sites, in fractional coordinates, are Rb at (0.000, 0.176, 0.000), Rb at (0.000, 0.263, 0.500), Rb at (0.121, 0.500, 0.851), Th at (0.207, 0.000, 0.630), Se at (0.077, 0.000, 0.305) and Se at (0.193, 0.347, 0.209).

=====

Which of them is the most stable, and which is the least stable? version w and version x, in that order.

=====

Version w
RbTiSe3: optimized geometry, PBE.

The structure belongs to space group Pm-3m (No. 221); the cell edges are 5.086, 5.086 and 5.086 Å and the angles 90.00°, 90.00° and 90.00°. The distinct sites, in fractional coordinates, are Rb at (0.000, 0.000, 0.000), Ti at (0.500, 0.500, 0.500) and Se at (0.000, 0.500, 0.500).

=====

Version x
RbTiSe3: optimized geometry, PBE.

The structure belongs to space group P-1 (No. 2); the cell edges are 4.850, 8.386 and 9.074 Å and the angles 100.87°, 90.29° and 106.68°. The distinct sites, in fractional coordinates, are Rb at (0.122, 0.242, 0.347), Ti at (0.331, 0.671, 0.116), Se at (0.180, 0.354, 0.988), Se at (0.344, 0.695, 0.372) and Se at (0.493, 0.986, 0.129).

=====

Version y
RbTiSe3: optimized geometry, PBE.

The structure belongs to space group P2_1/m (No. 11); the cell edges are 5.116, 4.955 and 11.652 Å and the angles 90.00°, 102.54° and 90.00°. The distinct sites, in fractional coordinates, are Rb at (0.169, 0.250, 0.341), Ti at (0.432, 0.250, 0.863), Se at (0.029, 0.750, 0.059), Se at (0.330, 0.250, 0.656) and Se at (0.446, 0.750, 0.890).

=====

Which of them is the most stable, and which is the least stable? version x and version w, in that order.

=====

Version w
RbTi4Se8: optimized geometry, PBE.

The structure belongs to space group F-43m (No. 216); the cell edges are 11.151, 11.151 and 11.151 Å and the angles 90.00°, 90.00° and 90.00°. The distinct sites, in fractional coordinates, are Rb at (0.000, 0.000, 0.000), Ti at (0.118, 0.118, 0.618), Se at (0.116, 0.116, 0.384) and Se at (0.149, 0.149, 0.851).

=====

Version x
RbTi4Se8: optimized geometry, PBE.

The structure belongs to space group C2/m (No. 12); the cell edges are 17.878, 3.604 and 12.457 Å and the angles 90.00°, 130.20° and 90.00°. The distinct sites, in fractional coordinates, are Rb at (0.000, 0.000, 0.000), Ti at (0.156, 0.000, 0.480), Ti at (0.166, 0.500, 0.840), Se at (0.038, 0.000, 0.735), Se at (0.133, 0.500, 0.598), Se at (0.160, 0.500, 0.333) and Se at (0.202, 0.500, 0.073).

=====

Which of them is the most stable, and which is the least stable? version x and version w, in that order.

=====

Version w
RbTi3Se: optimized geometry, PBE.

The structure belongs to space group Pm-3m (No. 221); the cell edges are 4.757, 4.757 and 4.757 Å and the angles 90.00°, 90.00° and 90.00°. The distinct sites, in fractional coordinates, are Rb at (0.000, 0.000, 0.000), Ti at (0.000, 0.000, 0.500) and Se at (0.500, 0.500, 0.500).

=====

Version x
RbTi3Se: optimized geometry, PBE.

The structure belongs to space group Pm-3m (No. 221); the cell edges are 4.946, 4.946 and 4.946 Å and the angles 90.00°, 90.00° and 90.00°. The distinct sites, in fractional coordinates, are Rb at (0.000, 0.000, 0.000), Ti at (0.000, 0.500, 0.500) and Se at (0.500, 0.500, 0.500).

=====

Which of them is the most stable, and which is the least stable? version x and version w, in that order.

=====

Version w
RbTiSe4: optimized geometry, PBE.

The structure belongs to space group C2/c (No. 15); the cell edges are 8.156, 14.599 and 6.543 Å and the angles 90.00°, 112.60° and 90.00°. The distinct sites, in fractional coordinates, are Rb at (0.000, 0.144, 0.250), Ti at (0.000, 0.500, 0.250), Se at (0.051, 0.362, 0.525) and Se at (0.250, 0.078, 0.878).

=====

Version x
RbTiSe4: optimized geometry, PBE.

The structure belongs to space group C2/m (No. 12); the cell edges are 14.449, 8.723 and 5.885 Å and the angles 90.00°, 90.26° and 90.00°. The distinct sites, in fractional coordinates, are Rb at (0.165, 0.000, 0.289), Ti at (0.013, 0.500, 0.235), Se at (0.000, 0.266, 0.500), Se at (0.112, 0.318, 0.909) and Se at (0.190, 0.500, 0.194).

=====

Which of them is the most stable, and which is the least stable? version x and version w, in that order.

=====

Version w
RbTl2Se: optimized geometry, PBE.

The structure belongs to space group I-42d (No. 122); the cell edges are 9.279, 9.279 and 6.780 Å and the angles 90.00°, 90.00° and 90.00°. The distinct sites, in fractional coordinates, are Rb at (0.000, 0.000, 0.000), Tl at (0.197, 0.250, 0.625) and Se at (0.000, 0.000, 0.500).

=====

Version x
RbTl2Se: optimized geometry, PBE.

The structure belongs to space group R-3m (No. 166, hexagonal axes); the cell edges are 4.5044, 4.5044 and 33.2309 Å and the angles 90.00°, 90.00° and 120.00°. The distinct sites, in fractional coordinates, are Rb at (0.0000, 0.0000, 0.0000), Tl at (0.0000, 0.0000, 0.1175) and Se at (0.0000, 0.0000, 0.5000).

=====

Which of them is the most stable, and which is the least stable? version w and version x, in that order.